Entry 1:
DFT (PBE) results for a relaxed ZrB crystal.

Unit cell a=7.803 b=7.803 c=4.834 alpha=90.00 beta=90.00 gamma=90.00
Space group I4/m (No. 87)
Inequivalent atoms, fractional coordinates:
Zr 0.105 0.309 0.000 x8
B 0.115 0.314 0.500 x8

Values from the calculation:
theoretical density = 4.6 g/cm³
ΔH_f (0 K) = 204 meV/atom



Entry 2:
DFT (PBE) results for a relaxed LaPrAl crystal.

Unit cell a=5.1619 b=5.1619 c=3.7889 alpha=90.00 beta=90.00 gamma=120.00
Space group P3m1 (No. 156)
Inequivalent atoms, fractional coordinates:
La 0.0000 0.0000 0.0000 x1
Pr 0.6667 0.3333 0.6209 x1
Al 0.3333 0.6667 0.3310 x1

Values from the calculation:
theoretical density = 5.8 g/cm³
ΔH_f (0 K) = -160 meV/atom
relative energy among the computed polymorphs = 33 meV/atom



Entry 3:
DFT (PBE) results for a relaxed Tb2Pm2Y3 crystal.

Unit cell a=16.811 b=3.509 c=8.790 alpha=90.00 beta=116.21 gamma=90.00
Space group C2/m (No. 12)
Inequivalent atoms, fractional coordinates:
Tb 0.138 0.000 0.409 x4
Pm 0.078 0.500 0.701 x4
Y 0.000 0.500 0.000 x2
Y 0.221 0.500 0.149 x4

Values from the calculation:
theoretical density = 6.2 g/cm³
ΔH_f (0 K) = 130 meV/atom
relative energy among the computed polymorphs = 0 meV/atom



Entry 4:
DFT (PBE) results for a relaxed Ce4PuIn crystal.

Unit cell a=6.376 b=17.882 c=5.541 alpha=90.00 beta=102.35 gamma=90.00
Space group C2/c (No. 15)
Inequivalent atoms, fractional coordinates:
Ce 0.205 0.134 0.167 x8
Ce 0.238 0.471 0.302 x8
Pu 0.000 0.210 0.750 x4
In 0.000 0.306 0.250 x4

Values from the calculation:
theoretical density = 9.9 g/cm³
ΔH_f (0 K) = -45 meV/atom
relative energy among the computed polymorphs = 109 meV/atom



Entry 5:
DFT (PBE) results for a relaxed La2MgAl crystal.

Unit cell a=3.618 b=4.971 c=6.681 alpha=90.00 beta=105.62 gamma=90.00
Space group Pm (No. 6)
Inequivalent atoms, fractional coordinates:
La 0.000 0.000 0.000 x1
La 0.323 0.500 0.650 x1
Mg 0.603 0.500 0.207 x1
Al 0.727 0.000 0.456 x1

Values from the calculation:
theoretical density = 4.7 g/cm³
ΔH_f (0 K) = -179 meV/atom



Entry 6:
DFT (PBE) results for a relaxed Rb3HoPu2Se6 crystal.

Unit cell a=7.426 b=12.863 c=8.348 alpha=90.00 beta=107.25 gamma=90.00
Space group C2/m (No. 12)
Inequivalent atoms, fractional coordinates:
Rb 0.000 0.000 0.000 x2
Rb 0.000 0.333 0.000 x4
Ho 0.000 0.500 0.500 x2
Pu 0.000 0.167 0.500 x4
Se 0.230 0.335 0.695 x8
Se 0.235 0.000 0.695 x4

Values from the calculation:
formation energy without anion corrections = -1.5320 eV per atom
theoretical density = 6.0 g/cm³



Entry 7:
DFT (PBE) results for a relaxed YHIr2Rh crystal.

Unit cell a=4.075 b=4.075 c=4.155 alpha=90.00 beta=90.00 gamma=90.00
Space group P4/mmm (No. 123)
Inequivalent atoms, fractional coordinates:
Y 0.000 0.000 0.000 x1
H 0.500 0.500 0.500 x1
Ir 0.000 0.500 0.500 x2
Rh 0.500 0.500 0.000 x1

Values from the calculation:
theoretical density = 13.9 g/cm³
VASP energy = -7.354 eV per atom



Entry 8:
DFT (PBE) results for a relaxed SnPdRh crystal.

Unit cell a=4.521 b=7.845 c=5.650 alpha=90.00 beta=90.00 gamma=90.00
Space group Cmcm (No. 63)
Inequivalent atoms, fractional coordinates:
Sn 0.000 0.166 0.250 x4
Pd 0.000 0.500 0.000 x4
Rh 0.000 0.167 0.750 x4

Values from the calculation:
theoretical density = 10.9 g/cm³
ΔH_f (0 K) = -451 meV/atom